1.
## Pm2Tl2H (PBE)

Data for a geometry-optimized Pm2Tl2H structure.

Calculated values
- SG = Cmc2_1, No. 36
- energy (eV/atom) = -3.755

abc: 3.7593 8.6979 8.7263
angles: 90.00 102.44 90.00
Last column: nearest neighbours and their distance in Å.
Fractional coordinates of all 10 atoms:
H1 0.6287 0.6518 0.2574  3 Pm 2.19-2.22
H2 0.3713 0.1518 0.7426  3 Pm 2.19-2.22
Pm1 0.1375 0.5248 0.2750  2 H 2.19
Pm2 0.5594 0.8676 0.1188  1 H 2.22
Pm3 0.8625 0.0248 0.7250  2 H 2.19
Pm4 0.4406 0.3676 0.8812  1 H 2.22
Tl1 0.7869 0.4135 0.5738  5 Pm 3.25-3.62, 3 H 3.28-3.40, 1 Tl 3.42
Tl2 0.0639 0.1766 0.1278  5 Pm 3.27-3.28, 1 Tl 3.42
Tl3 0.9361 0.6766 0.8722  5 Pm 3.27-3.28, 1 Tl 3.42
Tl4 0.2131 0.9135 0.4262  5 Pm 3.25-3.62, 3 H 3.28-3.40, 1 Tl 3.42


2.
## PmTmH (PBE)

Data for a geometry-optimized PmTmH structure.

Calculated values
- energy above the most stable polymorph in this dataset (eV per formula unit) = 0.07
- SG = P2_1/c, No. 14

abc: 6.5632 6.1241 8.8504
angles: 90.00 132.41 90.00
Last column: nearest neighbours and their distance in Å.
Fractional coordinates of all 12 atoms:
Pm1 0.2300 0.8154 0.0764  2 H 2.47-2.61
Pm2 0.7300 0.6846 0.5764  2 H 2.47-2.61
Pm3 0.7700 0.1846 0.9236  2 H 2.47-2.61
Pm4 0.2700 0.3154 0.4236  2 H 2.47-2.61
H1 0.7050 0.9899 0.3822  3 Tm 2.24-2.42, 1 Pm 2.47
H2 0.2950 0.0101 0.6178  3 Tm 2.24-2.42, 1 Pm 2.47
H3 0.7950 0.4899 0.1178  3 Tm 2.24-2.42, 1 Pm 2.47
H4 0.2050 0.5101 0.8822  3 Tm 2.24-2.42, 1 Pm 2.47
Tm1 0.9376 0.8240 0.3130  3 H 2.24-2.42
Tm2 0.0624 0.1760 0.6870  3 H 2.24-2.42
Tm3 0.4376 0.6760 0.8130  3 H 2.24-2.42
Tm4 0.5624 0.3240 0.1870  3 H 2.24-2.42


3.
## Pm3TmH (PBE)

Data for a geometry-optimized Pm3TmH structure.

Calculated values
- SG = Pm-3m, No. 221
- energy (eV/atom) = -4.581

abc: 5.0899 5.0899 5.0899
angles: 90.00 90.00 90.00
Last column: nearest neighbours and their distance in Å.
Fractional coordinates of all 5 atoms:
Pm1 0.5000 0.0000 0.0000  2 H 2.54
Pm2 0.0000 0.0000 0.5000  2 H 2.54
Pm3 0.0000 0.5000 0.0000  2 H 2.54
H1 0.0000 0.0000 0.0000  6 Pm 2.54
Tm1 0.5000 0.5000 0.5000  12 Pm 3.60